First-principles (PBE-GGA) data for a geometry-optimized Y2ReSn structure, as listed in Alexandria via LeMat-Bulk.

```
Y2ReSn
1.0
-4.190 4.190 2.918
4.190 -4.190 2.918
4.190 4.190 -2.918
Y Re Sn
4 2 2
Cartesian
2.095 1.561 -0.730 Y
2.629 -2.095 3.648 Y
2.095 2.629 2.189 Y
1.561 6.286 0.730 Y
0.000 0.000 0.000 Re
0.000 4.190 1.459 Re
4.190 0.000 1.459 Sn
0.000 0.000 2.918 Sn
```

Properties
raw total energy	-56.1	eV for the cell shown
total magnetization	0.0	μB/f.u.
formation energy	0.33	eV/atom

First-principles (PBE-GGA) data for a geometry-optimized ZnRe2Sn structure, as listed in Alexandria via LeMat-Bulk.

```
ZnRe2Sn
1.0
-1.979 1.979 9.439
1.979 -1.979 9.439
1.979 1.979 -9.439
Zn Re Sn
2 4 2
Cartesian
0.000 0.000 0.000 Zn
0.000 1.979 4.719 Zn
2.968 0.711 -2.360 Re
0.711 0.989 2.360 Re
-0.989 1.268 7.079 Re
1.268 0.989 11.798 Re
1.979 0.000 4.719 Sn
0.000 0.000 9.439 Sn
```

Properties
raw total energy	-55.5	eV for the cell shown
excess energy over the best structure of this formula in the dataset	0.00	eV/f.u.
total magnetization	0.0	μB/f.u.
formation energy	0.61	eV/atom

First-principles (PBE-GGA) data for a geometry-optimized Zn2ReSn structure, as listed in Alexandria via LeMat-Bulk.

```
Zn2ReSn
1.0
-3.792 3.792 2.650
3.792 -3.792 2.650
3.792 3.792 -2.650
Zn Re Sn
4 2 2
Cartesian
1.896 1.617 -0.662 Zn
2.175 -1.896 3.312 Zn
1.896 2.175 1.987 Zn
1.617 5.688 0.662 Zn
0.000 0.000 0.000 Re
0.000 3.792 1.325 Re
3.792 0.000 1.325 Sn
0.000 0.000 2.650 Sn
```

Properties
raw total energy	-32.6	eV for the cell shown
total magnetization	1.0	μB/f.u.
formation energy	0.68	eV/atom

First-principles (PBE-GGA) data for a geometry-optimized Zn3ReSn structure, as listed in Alexandria via LeMat-Bulk.

```
Zn3ReSn
1.0
4.859 0.000 0.000
0.000 4.859 0.000
0.000 0.000 4.859
Zn Re Sn
3 1 1
Cartesian
0.000 0.000 2.430 Zn
0.000 2.430 0.000 Zn
2.430 0.000 0.000 Zn
0.000 0.000 0.000 Re
2.430 2.430 2.430 Sn
```

Properties
raw total energy	-16.3	eV for the cell shown
excess energy over the best structure of this formula in the dataset	0.00	eV/f.u.
total magnetization	0.0	μB/f.u.
formation energy	0.79	eV/atom

First-principles (PBE-GGA) data for a geometry-optimized ZnRe3Sn structure, as listed in Alexandria via LeMat-Bulk.

```
ZnRe3Sn
1.0
4.544 0.000 0.000
0.000 4.544 0.000
0.000 0.000 4.544
Zn Re Sn
1 3 1
Cartesian
0.000 0.000 0.000 Zn
0.000 0.000 2.272 Re
0.000 2.272 0.000 Re
2.272 0.000 0.000 Re
2.272 2.272 2.272 Sn
```

Properties
raw total energy	-33.0	eV for the cell shown
excess energy over the best structure of this formula in the dataset	0.00	eV/f.u.
total magnetization	1.9	μB/f.u.
formation energy	1.93	eV/atom

First-principles (PBE-GGA) data for a geometry-optimized ZnRe2Sn structure, as listed in Alexandria via LeMat-Bulk.

```
ZnRe2Sn
1.0
0.000 3.173 3.173
3.173 0.000 3.173
3.173 3.173 0.000
Zn Re Sn
1 2 1
Cartesian
0.000 0.000 0.000 Zn
1.587 1.587 1.587 Re
4.760 4.760 4.760 Re
3.173 3.173 3.173 Sn
```

Properties
raw total energy	-27.5	eV for the cell shown
excess energy over the best structure of this formula in the dataset	0.19	eV/f.u.
total magnetization	0.0	μB/f.u.
formation energy	0.66	eV/atom

First-principles (PBE-GGA) data for a geometry-optimized ZnRe3Sn structure, as listed in Alexandria via LeMat-Bulk.

```
ZnRe3Sn
1.0
4.856 0.000 0.000
0.000 4.856 0.000
0.000 0.000 4.856
Zn Re Sn
1 3 1
Cartesian
0.000 0.000 0.000 Zn
0.000 2.428 2.428 Re
2.428 0.000 2.428 Re
2.428 2.428 0.000 Re
2.428 2.428 2.428 Sn
```

Properties
raw total energy	-28.4	eV for the cell shown
excess energy over the best structure of this formula in the dataset	4.53	eV/f.u.
total magnetization	2.9	μB/f.u.
formation energy	2.83	eV/atom

First-principles (PBE-GGA) data for a geometry-optimized ZnReSn3 structure, as listed in Alexandria via LeMat-Bulk.

```
ZnReSn3
1.0
5.097 0.000 0.000
0.000 5.097 0.000
0.000 0.000 5.097
Zn Re Sn
1 1 3
Cartesian
0.000 0.000 0.000 Zn
2.548 2.548 2.548 Re
0.000 0.000 2.548 Sn
0.000 2.548 0.000 Sn
2.548 0.000 0.000 Sn
```

Properties
raw total energy	-19.0	eV for the cell shown
excess energy over the best structure of this formula in the dataset	4.67	eV/f.u.
total magnetization	3.2	μB/f.u.
formation energy	1.34	eV/atom

First-principles (PBE-GGA) data for a geometry-optimized ZnReSn2 structure, as listed in Alexandria via LeMat-Bulk.

```
ZnReSn2
1.0
-3.101 3.101 6.134
3.101 -3.101 6.134
3.101 3.101 -6.134
Zn Re Sn
2 2 4
Cartesian
0.000 0.000 0.000 Zn
0.000 3.101 3.067 Zn
3.101 0.000 3.067 Re
0.000 0.000 6.134 Re
1.550 -1.407 4.600 Sn
1.694 1.550 1.533 Sn
1.550 4.508 -1.533 Sn
1.407 1.550 7.667 Sn
```

Properties
raw total energy	-35.3	eV for the cell shown
total magnetization	0.0	μB/f.u.
formation energy	1.02	eV/atom

First-principles (PBE-GGA) data for a geometry-optimized ZnReSn2 structure, as listed in Alexandria via LeMat-Bulk.

```
ZnReSn2
1.0
1.480 0.854 10.980
-1.480 0.854 10.980
0.000 -1.709 10.980
Zn Re Sn
1 1 2
Cartesian
0.000 0.000 0.000 Zn
0.000 0.000 16.470 Re
0.000 0.000 13.661 Sn
0.000 0.000 19.278 Sn
```

Properties
raw total energy	-18.8	eV for the cell shown
total magnetization	0.0	μB/f.u.
formation energy	0.73	eV/atom

First-principles (PBE-GGA) data for a geometry-optimized ZnReSn3 structure, as listed in Alexandria via LeMat-Bulk.

```
ZnReSn3
1.0
5.215 0.000 0.000
0.000 5.215 0.000
0.000 0.000 5.215
Zn Re Sn
1 1 3
Cartesian
0.000 0.000 0.000 Zn
2.607 2.607 2.607 Re
0.000 2.607 2.607 Sn
2.607 0.000 2.607 Sn
2.607 2.607 0.000 Sn
```

Properties
raw total energy	-23.7	eV for the cell shown
excess energy over the best structure of this formula in the dataset	0.00	eV/f.u.
total magnetization	0.0	μB/f.u.
formation energy	0.41	eV/atom

First-principles (PBE-GGA) data for a geometry-optimized ZrReSn structure, as listed in Alexandria via LeMat-Bulk.

```
ZrReSn
1.0
5.295 0.000 0.000
0.000 3.287 0.000
0.000 0.000 7.075
Zr Re Sn
2 2 2
Cartesian
1.324 0.000 1.615 Zr
3.971 0.000 5.459 Zr
0.000 1.643 3.537 Re
2.647 1.643 3.537 Re
1.324 1.643 5.997 Sn
3.971 1.643 1.078 Sn
```

Properties
raw total energy	-50.1	eV for the cell shown
total magnetization	0.0	μB/f.u.
formation energy	-0.02	eV/atom

First-principles (PBE-GGA) data for a geometry-optimized ZrRe2Sn2 structure, as listed in Alexandria via LeMat-Bulk.

```
ZrRe2Sn2
1.0
7.924 0.000 0.000
0.000 7.924 0.000
0.000 0.000 3.029
Zr Re Sn
2 4 4
Cartesian
0.000 0.000 0.000 Zr
3.962 3.962 0.000 Zr
1.192 2.770 1.514 Re
2.770 6.732 1.514 Re
5.154 1.192 1.514 Re
6.732 5.154 1.514 Re
1.158 5.120 0.000 Sn
2.805 1.158 0.000 Sn
5.120 6.767 0.000 Sn
6.767 2.805 0.000 Sn
```

Properties
raw total energy	-79.3	eV for the cell shown
excess energy over the best structure of this formula in the dataset	0.00	eV/f.u.
total magnetization	0.0	μB/f.u.
formation energy	0.36	eV/atom

First-principles (PBE-GGA) data for a geometry-optimized ZrReSn2 structure, as listed in Alexandria via LeMat-Bulk.

```
ZrReSn2
1.0
-2.065 2.065 10.283
2.065 -2.065 10.283
2.065 2.065 -10.283
Zr Re Sn
2 2 4
Cartesian
0.000 0.000 0.000 Zr
0.000 2.065 5.142 Zr
2.065 0.000 5.142 Re
0.000 0.000 10.283 Re
1.032 -1.017 7.712 Sn
1.048 1.032 2.571 Sn
1.032 3.081 -2.571 Sn
1.017 1.032 12.854 Sn
```

Properties
raw total energy	-54.9	eV for the cell shown
excess energy over the best structure of this formula in the dataset	0.94	eV/f.u.
total magnetization	0.0	μB/f.u.
formation energy	0.39	eV/atom

First-principles (PBE-GGA) data for a geometry-optimized Zr8ReSn2 structure, as listed in Alexandria via LeMat-Bulk.

```
Zr8ReSn2
1.0
9.207 -2.384 0.000
9.207 2.384 0.000
-1.763 0.000 5.738
Zr Re Sn
8 1 2
Cartesian
-0.086 0.000 1.578 Zr
2.692 0.000 4.791 Zr
5.667 0.000 2.696 Zr
7.588 0.000 0.092 Zr
9.062 0.000 5.646 Zr
10.984 0.000 3.042 Zr
13.958 0.000 0.947 Zr
16.736 0.000 4.160 Zr
8.325 0.000 2.869 Re
2.865 0.000 1.542 Sn
13.785 0.000 4.196 Sn
```

Properties
raw total energy	-90.9	eV for the cell shown
total magnetization	0.0	μB/f.u.
formation energy	-0.19	eV/atom

First-principles (PBE-GGA) data for a geometry-optimized ZrReSn2 structure, as listed in Alexandria via LeMat-Bulk.

```
ZrReSn2
1.0
0.000 3.404 3.404
3.404 0.000 3.404
3.404 3.404 0.000
Zr Re Sn
1 1 2
Cartesian
0.000 0.000 0.000 Zr
3.404 3.404 3.404 Re
1.702 1.702 1.702 Sn
5.106 5.106 5.106 Sn
```

Properties
raw total energy	-28.4	eV for the cell shown
excess energy over the best structure of this formula in the dataset	0.00	eV/f.u.
total magnetization	0.0	μB/f.u.
formation energy	0.15	eV/atom

First-principles (PBE-GGA) data for a geometry-optimized ZrRe2Sn2 structure, as listed in Alexandria via LeMat-Bulk.

```
ZrRe2Sn2
1.0
-1.866 1.866 7.472
1.866 -1.866 7.472
1.866 1.866 -7.472
Zr Re Sn
1 2 2
Cartesian
0.000 0.000 0.000 Zr
1.866 0.000 3.736 Re
0.000 1.866 3.736 Re
0.000 0.000 5.864 Sn
0.000 0.000 9.079 Sn
```

Properties
raw total energy	-38.9	eV for the cell shown
excess energy over the best structure of this formula in the dataset	0.75	eV/f.u.
total magnetization	0.0	μB/f.u.
formation energy	0.51	eV/atom

First-principles (PBE-GGA) data for a geometry-optimized Zr2ReSn2 structure, as listed in Alexandria via LeMat-Bulk.

```
Zr2ReSn2
1.0
7.094 0.000 0.000
0.000 7.094 0.000
0.000 0.000 4.176
Zr Re Sn
4 2 4
Cartesian
1.182 2.365 0.000 Zr
2.365 5.912 0.000 Zr
4.729 1.182 0.000 Zr
5.912 4.729 0.000 Zr
0.000 0.000 2.088 Re
3.547 3.547 2.088 Re
1.002 4.549 2.088 Sn
2.545 1.002 2.088 Sn
4.549 6.092 2.088 Sn
6.092 2.545 2.088 Sn
```

Properties
raw total energy	-76.3	eV for the cell shown
total magnetization	0.0	μB/f.u.
formation energy	-0.12	eV/atom

First-principles (PBE-GGA) data for a geometry-optimized SrRe structure, as listed in Alexandria via LeMat-Bulk.

```
SrRe
1.0
8.580 0.000 0.000
0.000 8.580 0.000
0.000 0.000 8.580
Sr Re
6 6
Cartesian
0.000 2.145 4.290 Sr
0.000 6.435 4.290 Sr
2.145 4.290 0.000 Sr
4.290 0.000 2.145 Sr
4.290 0.000 6.435 Sr
6.435 4.290 0.000 Sr
0.000 4.290 2.145 Re
0.000 4.290 6.435 Re
2.145 0.000 4.290 Re
4.290 2.145 0.000 Re
4.290 6.435 0.000 Re
6.435 0.000 4.290 Re
```

Properties
raw total energy	-48.8	eV for the cell shown
excess energy over the best structure of this formula in the dataset	5.31	eV/f.u.
total magnetization	3.0	μB/f.u.
formation energy	2.99	eV/atom

First-principles (PBE-GGA) data for a geometry-optimized Sr2Re structure, as listed in Alexandria via LeMat-Bulk.

```
Sr2Re
1.0
3.586 0.000 0.000
-1.793 3.105 0.000
0.000 0.000 8.421
Sr Re
2 1
Cartesian
0.000 2.070 2.261 Sr
1.793 1.035 6.160 Sr
0.000 0.000 0.000 Re
```

Properties
raw total energy	-12.2	eV for the cell shown
excess energy over the best structure of this formula in the dataset	2.33	eV/f.u.
total magnetization	0.6	μB/f.u.
formation energy	1.22	eV/atom

First-principles (PBE-GGA) data for a geometry-optimized SrRe structure, as listed in Alexandria via LeMat-Bulk.

```
SrRe
1.0
0.000 3.479 3.479
3.479 0.000 3.479
3.479 3.479 0.000
Sr Re
1 1
Cartesian
0.000 0.000 0.000 Sr
5.219 5.219 5.219 Re
```

Properties
raw total energy	-8.3	eV for the cell shown
excess energy over the best structure of this formula in the dataset	5.18	eV/f.u.
total magnetization	3.0	μB/f.u.
formation energy	2.93	eV/atom

First-principles (PBE-GGA) data for a geometry-optimized SrRe structure, as listed in Alexandria via LeMat-Bulk.

```
SrRe
1.0
-6.767 6.767 1.837
6.767 -6.767 1.837
6.767 6.767 -1.837
Sr Re
4 4
Cartesian
3.730 0.573 0.000 Sr
6.193 -3.037 1.837 Sr
0.573 9.803 0.000 Sr
3.037 6.193 1.837 Sr
10.051 2.668 0.000 Re
2.668 3.483 0.000 Re
4.099 3.284 1.837 Re
-3.284 4.099 1.837 Re
```

Properties
raw total energy	-48.1	eV for the cell shown
excess energy over the best structure of this formula in the dataset	1.43	eV/f.u.
total magnetization	0.0	μB/f.u.
formation energy	1.05	eV/atom

First-principles (PBE-GGA) data for a geometry-optimized SrRe structure, as listed in Alexandria via LeMat-Bulk.

```
SrRe
1.0
6.514 0.000 0.000
0.000 6.514 0.000
0.000 0.000 6.226
Sr Re
4 4
Cartesian
1.219 1.219 0.000 Sr
2.038 4.476 3.113 Sr
4.476 2.038 3.113 Sr
5.294 5.294 0.000 Sr
0.783 0.783 3.113 Re
2.473 4.040 0.000 Re
4.040 2.473 0.000 Re
5.730 5.730 3.113 Re
```

Properties
raw total energy	-44.4	eV for the cell shown
excess energy over the best structure of this formula in the dataset	2.35	eV/f.u.
total magnetization	0.6	μB/f.u.
formation energy	1.51	eV/atom

First-principles (PBE-GGA) data for a geometry-optimized SrRe structure, as listed in Alexandria via LeMat-Bulk.

```
SrRe
1.0
3.693 0.000 0.000
0.000 3.693 0.000
0.000 0.000 3.693
Sr Re
1 1
Cartesian
0.000 0.000 0.000 Sr
1.846 1.846 1.846 Re
```

Properties
raw total energy	-10.6	eV for the cell shown
excess energy over the best structure of this formula in the dataset	2.84	eV/f.u.
total magnetization	2.4	μB/f.u.
formation energy	1.76	eV/atom

First-principles (PBE-GGA) data for a geometry-optimized SrRe structure, as listed in Alexandria via LeMat-Bulk.

```
SrRe
1.0
10.256 0.000 0.000
-5.128 8.882 0.000
0.000 0.000 3.927
Sr Re
6 6
Cartesian
0.000 3.161 0.982 Sr
-2.390 7.301 0.982 Sr
2.738 1.581 2.946 Sr
2.390 7.301 0.982 Sr
7.518 1.581 2.946 Sr
5.128 5.720 2.946 Sr
-1.944 4.799 2.946 Re
1.944 4.799 2.946 Re
0.000 8.166 2.946 Re
5.128 0.716 0.982 Re
3.184 4.083 0.982 Re
7.072 4.083 0.982 Re
```

Properties
raw total energy	-75.6	eV for the cell shown
excess energy over the best structure of this formula in the dataset	0.86	eV/f.u.
total magnetization	0.0	μB/f.u.
formation energy	0.77	eV/atom

First-principles (PBE-GGA) data for a geometry-optimized SrRe structure, as listed in Alexandria via LeMat-Bulk.

```
SrRe
1.0
3.303 0.000 0.000
0.000 3.303 0.000
0.000 0.000 9.732
Sr Re
2 2
Cartesian
0.826 0.826 1.909 Sr
2.477 2.477 7.823 Sr
0.826 0.826 5.425 Re
2.477 2.477 4.307 Re
```

Properties
raw total energy	-26.2	eV for the cell shown
excess energy over the best structure of this formula in the dataset	0.37	eV/f.u.
total magnetization	0.0	μB/f.u.
formation energy	0.52	eV/atom